1.
A geometry-optimized BaPt4Rh structure. Source: Alexandria via LeMat-Bulk, functional PBE-GGA.

Properties
Spin magnetization (μB per formula unit): 1.5
Uncorrected energy (eV/atom): -5.66

a b c (Å): 5.477 5.477 5.477
angles (deg): 60.00 60.00 60.00
Site moments in Bohr magnetons follow the coordinates.
Positions (direct):
1 Ba 0.000 0.000 0.000  0.00
2 Pt 0.873 0.376 0.376  0.07
3 Pt 0.376 0.376 0.873  0.07
4 Pt 0.376 0.873 0.376  0.07
5 Pt 0.376 0.376 0.376  0.07
6 Rh 0.750 0.750 0.750  1.17

2.
A geometry-optimized Ti3AsSe3 structure. Source: Alexandria via LeMat-Bulk, functional PBE-GGA.

Properties
Spin magnetization (μB per formula unit): 0.0
Uncorrected energy (eV/atom): -6.59

a b c (Å): 8.937 8.937 8.937
angles (deg): 109.47 109.47 109.47
Positions (direct):
1 Ti 0.991 0.495 0.245
2 Ti 0.505 0.009 0.255
3 Ti 0.250 0.005 0.495
4 Ti 0.995 0.750 0.005
5 Ti 0.995 0.245 0.491
6 Ti 0.755 0.005 0.009
7 Ti 0.745 0.491 0.495
8 Ti 0.755 0.750 0.245
9 Ti 0.509 0.255 0.005
10 Ti 0.250 0.245 0.255
11 Ti 0.745 0.255 0.750
12 Ti 0.505 0.495 0.750
13 As 0.750 0.500 0.000
14 As 0.500 0.250 0.500
15 As 0.750 0.250 0.250
16 As 0.000 0.000 0.250
17 Se 0.247 0.997 0.994
18 Se 0.750 0.753 0.747
19 Se 0.494 0.747 0.997
20 Se 0.003 0.250 0.997
21 Se 0.253 0.747 0.250
22 Se 0.497 0.503 0.250
23 Se 0.247 0.250 0.753
24 Se 0.253 0.506 0.503
25 Se 0.750 0.997 0.503
26 Se 0.006 0.503 0.753
27 Se 0.003 0.753 0.506
28 Se 0.497 0.994 0.747

3.
A geometry-optimized RbNb4S8 structure. Source: Alexandria via LeMat-Bulk, functional PBE-GGA.

Properties
Spin magnetization (μB per formula unit): 0.0
Energy above the most stable polymorph in this dataset (meV/atom): 213
Uncorrected energy (eV/atom): -6.53

a b c (Å): 7.475 7.475 7.475
angles (deg): 60.00 60.00 60.00
Positions (direct):
1 Rb 0.750 0.750 0.750
2 Nb 0.921 0.360 0.360
3 Nb 0.360 0.921 0.360
4 Nb 0.360 0.360 0.921
5 Nb 0.360 0.360 0.360
6 S 0.621 0.126 0.126
7 S 0.126 0.621 0.126
8 S 0.126 0.126 0.621
9 S 0.126 0.126 0.126
10 S 0.204 0.599 0.599
11 S 0.599 0.204 0.599
12 S 0.599 0.599 0.204
13 S 0.599 0.599 0.599

4.
A geometry-optimized La2TcSb structure. Source: Alexandria via LeMat-Bulk, functional PBE-GGA.

Properties
Spin magnetization (μB per formula unit): 0.0
Uncorrected energy (eV/atom): -6.35

a b c (Å): 4.172 4.008 7.101
angles (deg): 64.42 90.00 90.00
Positions (direct):
1 La 0.000 0.913 0.984
2 La 0.000 0.587 0.516
3 Sb 0.500 0.250 0.250
4 Tc 0.500 0.750 0.750